1.
A relaxed Dy2Y12Er crystal. Source: Alexandria via LeMat-Bulk, functional PBE.

Cell and atoms, written as POSCAR:
```
Dy2Y12Er
1.0
3.5472 -5.6702 0.0000
3.5472 5.6702 0.0000
0.0000 0.0000 24.6675
Dy Y Er
4 24 2
Direct
0.2500 0.7500 0.2332
0.2500 0.7500 0.7669
0.7500 0.2500 0.2331
0.7500 0.2500 0.7668
0.9999 0.0001 0.4235
0.0001 0.9999 0.5765
0.9999 0.4999 0.3724
0.0001 0.5001 0.6276
0.0006 0.5006 0.0874
0.0008 0.9992 0.9378
0.2500 0.2500 0.1744
0.2500 0.2500 0.3013
0.2500 0.2500 0.6987
0.2500 0.2500 0.8256
0.4992 0.5008 0.9378
0.4994 0.9994 0.0874
0.5001 0.0001 0.3724
0.4999 0.9999 0.6276
0.5001 0.4999 0.4235
0.4999 0.5001 0.5765
0.5006 0.0006 0.9126
0.5008 0.4992 0.0622
0.7500 0.7500 0.1744
0.7500 0.7500 0.3013
0.7500 0.7500 0.6987
0.7500 0.7500 0.8256
0.9992 0.0008 0.0622
0.9994 0.4994 0.9126
0.2500 0.7500 0.5000
0.7500 0.2500 0.5000
```

Summary:
M_tot (Bohr magnetons per cell): 0.000
Density of states at the Fermi level (states/eV/atom): 1.9383
Uncorrected energy (eV/cell): -177.39

***

2.
A relaxed K2Cu2PdO6 crystal. Source: Alexandria via LeMat-Bulk, functional PBE.

Cell and atoms, written as POSCAR:
```
K2Cu2PdO6
1.0
2.8888 1.6678 5.7932
-2.8888 1.6678 5.7932
0.0000 -3.3357 5.7932
K Cu Pd O
2 2 1 6
Direct
0.2086 0.2086 0.2086
0.7914 0.7914 0.7914
0.3963 0.3963 0.3963
0.6037 0.6037 0.6037
0.0000 0.0000 0.0000
0.2293 0.2293 0.7629
0.2293 0.7629 0.2293
0.2371 0.7707 0.7707
0.7629 0.2293 0.2293
0.7707 0.2371 0.7707
0.7707 0.7707 0.2371
```

Summary:
M_tot (Bohr magnetons per cell): 3.783
Density of states at the Fermi level (states/eV/atom): 0.7003
Uncorrected energy (eV/cell): -52.82
Formation energy without anion corrections (eV/atom): -0.681

***

3.
A relaxed Re2Pt2Rh7 crystal. Source: Alexandria via LeMat-Bulk, functional PBE.

Cell and atoms, written as POSCAR:
```
Re2Pt2Rh7
1.0
3.4392 -3.7333 0.0000
3.4392 3.7333 0.0000
-1.2925 0.0000 6.4910
Re Pt Rh
2 2 7
Direct
0.1816 0.8184 0.0000
0.8184 0.1816 0.0000
0.1004 0.1004 0.3485
0.8996 0.8996 0.6515
0.0407 0.4254 0.7065
0.3457 0.3457 0.0839
0.4254 0.0407 0.7065
0.5000 0.5000 0.5000
0.5746 0.9593 0.2935
0.6543 0.6543 0.9161
0.9593 0.5746 0.2935
```

Summary:
M_tot (Bohr magnetons per cell): 0.000
Density of states at the Fermi level (states/eV/atom): 1.4956
Uncorrected energy (eV/cell): -87.31
ΔE to the lowest computed polymorph (eV per atom): 0.000

***

4.
A relaxed BaSbSeBr2 crystal. Source: Alexandria via LeMat-Bulk, functional PBE.

Cell and atoms, written as POSCAR:
```
BaSbSeBr2
1.0
5.6171 0.0000 0.0000
0.0000 5.6171 0.0000
0.0000 0.0000 5.7484
Ba Sb Se Br
1 1 1 2
Direct
0.0000 0.0000 0.0000
0.5000 0.5000 0.5000
0.5000 0.5000 0.0000
0.0000 0.5000 0.5000
0.5000 0.0000 0.5000
```

Summary:
M_tot (Bohr magnetons per cell): 0.000
Density of states at the Fermi level (states/eV/atom): 0.1503
Uncorrected energy (eV/cell): -17.41
ΔE to the lowest computed polymorph (eV per atom): 0.000
Formation energy without anion corrections (eV/atom): -0.906

***

5.
A relaxed Cs4LaPa3S12 crystal. Source: Alexandria via LeMat-Bulk, functional PBE.

Cell and atoms, written as POSCAR:
```
Cs4LaPa3S12
1.0
-5.3953 5.3953 5.3953
5.3953 -5.3953 5.3953
5.3953 5.3953 -5.3953
Cs La Pa S
4 1 3 12
Direct
0.0000 0.0000 0.5000
0.0000 0.5000 0.0000
0.5000 0.0000 0.0000
0.5000 0.5000 0.5000
0.0000 0.0000 0.0000
0.0000 0.5000 0.5000
0.5000 0.0000 0.5000
0.5000 0.5000 0.0000
0.0000 0.2629 0.2629
0.0000 0.7371 0.7371
0.2500 0.5000 0.7500
0.2500 0.7500 0.5000
0.2629 0.0000 0.2629
0.2629 0.2629 0.0000
0.5000 0.2500 0.7500
0.5000 0.7500 0.2500
0.7371 0.0000 0.7371
0.7371 0.7371 0.0000
0.7500 0.2500 0.5000
0.7500 0.5000 0.2500
```

Summary:
M_tot (Bohr magnetons per cell): 0.000
Density of states at the Fermi level (states/eV/atom): 0.5078
Uncorrected energy (eV/cell): -116.41
Formation energy without anion corrections (eV/atom): -1.503

***

6.
A relaxed Ta2BeNbZn crystal. Source: Alexandria via LeMat-Bulk, functional PBE.

Cell and atoms, written as POSCAR:
```
Ta2BeNbZn
1.0
4.8410 0.0000 0.0000
0.0000 4.8410 0.0000
0.0000 0.0000 4.9090
Ta Be Nb Zn
2 1 1 1
Direct
0.0000 0.5000 0.0000
0.5000 0.0000 0.0000
0.0000 0.0000 0.5000
0.5000 0.5000 0.0000
0.5000 0.5000 0.5000
```

Summary:
M_tot (Bohr magnetons per cell): 0.000
Density of states at the Fermi level (states/eV/atom): 0.8698
Uncorrected energy (eV/cell): -29.63

***

7.
A relaxed TaBeCr crystal. Source: Alexandria via LeMat-Bulk, functional PBE.

Cell and atoms, written as POSCAR:
```
TaBeCr
1.0
0.0000 2.9102 2.9102
2.9102 0.0000 2.9102
2.9102 2.9102 0.0000
Ta Be Cr
1 1 1
Direct
0.0000 0.0000 0.0000
0.2500 0.2500 0.2500
0.7500 0.7500 0.7500
```

Summary:
M_tot (Bohr magnetons per cell): 1.555
Density of states at the Fermi level (states/eV/atom): 1.1418
Uncorrected energy (eV/cell): -21.56
ΔE to the lowest computed polymorph (eV per atom): 1.325

***

8.
A relaxed BaHfMg2Ga crystal. Source: Alexandria via LeMat-Bulk, functional PBE.

Cell and atoms, written as POSCAR:
```
BaHfMg2Ga
1.0
5.1100 0.0000 0.0000
0.0000 5.1100 0.0000
0.0000 0.0000 6.0509
Ba Hf Mg Ga
1 1 2 1
Direct
0.0000 0.0000 0.0000
0.5000 0.5000 0.0000
0.0000 0.5000 0.5000
0.5000 0.0000 0.5000
0.0000 0.0000 0.5000
```

Summary:
M_tot (Bohr magnetons per cell): 1.144
Density of states at the Fermi level (states/eV/atom): 1.0852
Uncorrected energy (eV/cell): -14.61

***

9.
A relaxed Tb8CeIn6 crystal. Source: Alexandria via LeMat-Bulk, functional PBE.

Cell and atoms, written as POSCAR:
```
Tb8CeIn6
1.0
4.5567 2.6308 6.4905
-4.5567 2.6308 6.4905
0.0000 -5.2616 6.4905
Tb Ce In
8 1 6
Direct
0.0599 0.3846 0.7160
0.1682 0.1682 0.1682
0.2840 0.9401 0.6154
0.3846 0.7160 0.0599
0.6154 0.2840 0.9401
0.7160 0.0599 0.3846
0.8318 0.8318 0.8318
0.9401 0.6154 0.2840
0.5000 0.5000 0.5000
0.1018 0.7811 0.4411
0.2189 0.5589 0.8982
0.4411 0.1018 0.7811
0.5589 0.8982 0.2189
0.7811 0.4411 0.1018
0.8982 0.2189 0.5589
```

Summary:
M_tot (Bohr magnetons per cell): 1.270
Density of states at the Fermi level (states/eV/atom): 1.8398
Uncorrected energy (eV/cell): -62.35

***

10.
A relaxed Y3Tm6Zr crystal. Source: Alexandria via LeMat-Bulk, functional PBE.

Cell and atoms, written as POSCAR:
```
Y3Tm6Zr
1.0
11.0264 0.0000 0.0000
0.0000 4.8984 0.0000
-0.0115 0.0000 11.0335
Y Tm Zr
6 12 2
Direct
0.0009 0.2500 0.2486
0.2026 0.7500 0.3500
0.4008 0.2500 0.4495
0.5992 0.7500 0.5505
0.7974 0.2500 0.6500
0.9991 0.7500 0.7514
0.1012 0.2500 0.5527
0.1056 0.7500 0.0474
0.2060 0.2500 0.8543
0.3020 0.7500 0.6587
0.3107 0.2500 0.1393
0.4976 0.2500 0.7652
0.5024 0.7500 0.2348
0.6893 0.7500 0.8607
0.6980 0.2500 0.3413
0.7940 0.7500 0.1457
0.8944 0.2500 0.9526
0.8988 0.7500 0.4473
0.4091 0.7500 0.9547
0.5909 0.2500 0.0453
```

Summary:
M_tot (Bohr magnetons per cell): 0.000
Density of states at the Fermi level (states/eV/atom): 1.4279
Uncorrected energy (eV/cell): -108.63

***

11.
A relaxed Pm5Er4Mg crystal. Source: Alexandria via LeMat-Bulk, functional PBE.

Cell and atoms, written as POSCAR:
```
Pm5Er4Mg
1.0
3.6023 0.0000 0.0000
0.0000 3.6023 0.0000
0.0000 0.0000 24.4734
Pm Er Mg
5 4 1
Direct
0.0000 0.0000 0.0000
0.0000 0.0000 0.2045
0.0000 0.0000 0.4088
0.0000 0.0000 0.5912
0.0000 0.0000 0.7955
0.5000 0.5000 0.1024
0.5000 0.5000 0.3074
0.5000 0.5000 0.6926
0.5000 0.5000 0.8976
0.5000 0.5000 0.5000
```

Summary:
M_tot (Bohr magnetons per cell): 0.000
Density of states at the Fermi level (states/eV/atom): 1.3333
Uncorrected energy (eV/cell): -43.61

***

12.
A relaxed SrTlSe2N crystal. Source: Alexandria via LeMat-Bulk, functional PBE.

Cell and atoms, written as POSCAR:
```
SrTlSe2N
1.0
5.9511 0.0000 0.0000
0.0000 5.9511 0.0000
0.0000 0.0000 5.0174
Sr Tl Se N
1 1 2 1
Direct
0.0000 0.0000 0.0000
0.5000 0.5000 0.5000
0.0000 0.5000 0.0000
0.5000 0.0000 0.0000
0.0000 0.0000 0.5000
```

Summary:
M_tot (Bohr magnetons per cell): 0.926
Density of states at the Fermi level (states/eV/atom): 1.1816
Uncorrected energy (eV/cell): -17.28
ΔE to the lowest computed polymorph (eV per atom): 0.310
Formation energy without anion corrections (eV/atom): 0.413